The following is a PBEsol calculation of a relaxed Ba2PtBr crystal, from the Alexandria database.

Properties
**Energy above the most stable polymorph in this dataset**: 171 meV/atom
**Formation energy from raw total energies**: -1.035 eV/atom

Cell and atoms, written as CIF:
```
data_Ba2PtBr
_cell_length_a 5.526
_cell_length_b 5.526
_cell_length_c 3.841
_cell_angle_alpha 90.00
_cell_angle_beta 90.00
_cell_angle_gamma 90.00
_symmetry_space_group_name_H-M 'P 4/m m m'
_symmetry_Int_Tables_number 123
_symmetry_space_group_name_Hall '-P 4 2'
loop_
_atom_site_label
_atom_site_fract_x
_atom_site_fract_y
_atom_site_fract_z
Ba1 0.000 0.500 0.000
Pt1 0.000 0.000 0.500
Br1 0.500 0.500 0.500
```

The following is a PBEsol calculation of a relaxed Ag5Pt3 crystal, from the Alexandria database.

Properties
**Energy above the most stable polymorph in this dataset**: 0 meV/atom

Cell and atoms, written as CIF:
```
data_Ag5Pt3
_cell_length_a 5.5896
_cell_length_b 5.5896
_cell_length_c 13.9815
_cell_angle_alpha 90.00
_cell_angle_beta 90.00
_cell_angle_gamma 120.00
_symmetry_space_group_name_H-M 'R -3 m'
_symmetry_Int_Tables_number 166
_symmetry_space_group_name_Hall '-R 3 2"'
loop_
_atom_site_label
_atom_site_fract_x
_atom_site_fract_y
_atom_site_fract_z
Ag1 0.0000 0.0000 0.0000
Ag2 0.0000 0.0000 0.5000
Ag3 0.0000 0.5000 0.0000
Pt1 0.0000 0.5000 0.5000
```

The following is a PBEsol calculation of a relaxed Mn2FeCo crystal, from the Alexandria database.

Properties
**Energy above the most stable polymorph in this dataset**: 86 meV/atom

Cell and atoms, written as CIF:
```
data_Mn2FeCo
_cell_length_a 2.761
_cell_length_b 2.761
_cell_length_c 5.674
_cell_angle_alpha 90.00
_cell_angle_beta 90.00
_cell_angle_gamma 90.00
_symmetry_space_group_name_H-M 'P 4 m m'
_symmetry_Int_Tables_number 99
loop_
_symmetry_equiv_pos_as_xyz
'x,y,z'
'-y,x,z'
'-x,-y,z'
'y,-x,z'
'-x,y,z'
'y,x,z'
'x,-y,z'
'-y,-x,z'
loop_
_atom_site_label
_atom_site_fract_x
_atom_site_fract_y
_atom_site_fract_z
Mn1 0.000 0.000 0.000
Mn2 0.500 0.500 0.243
Fe1 0.500 0.500 0.746
Co1 0.000 0.000 0.501
```

The following is a PBEsol calculation of a relaxed KInPb2 crystal, from the Alexandria database.

Properties
**Total DFT energy (no corrections)**: -3.083 eV/atom

Cell and atoms, written as CIF:
```
data_KInPb2
_cell_length_a 3.474
_cell_length_b 5.404
_cell_length_c 7.008
_cell_angle_alpha 90.00
_cell_angle_beta 100.14
_cell_angle_gamma 90.00
_symmetry_space_group_name_H-M 'P 1 2/m 1'
_symmetry_Int_Tables_number 10
loop_
_symmetry_equiv_pos_as_xyz
'x,y,z'
'-x,-y,-z'
'-x,y,-z'
'x,-y,z'
loop_
_atom_site_label
_atom_site_fract_x
_atom_site_fract_y
_atom_site_fract_z
K1 0.000 0.000 0.000
In1 0.500 0.000 0.500
Pb1 0.309 0.500 0.698
```

The following is a PBEsol calculation of a relaxed Ta2CrCu crystal, from the Alexandria database.

Properties
**Total DFT energy (no corrections)**: -9.690 eV/atom

Cell and atoms, written as CIF:
```
data_Ta2CrCu
_cell_length_a 3.256
_cell_length_b 4.284
_cell_length_c 8.418
_cell_angle_alpha 90.00
_cell_angle_beta 90.00
_cell_angle_gamma 90.00
_symmetry_space_group_name_H-M 'C m m 2'
_symmetry_Int_Tables_number 35
loop_
_symmetry_equiv_pos_as_xyz
'x,y,z'
'-x,-y,z'
'-x,y,z'
'x,-y,z'
'x+1/2,y+1/2,z'
'-x+1/2,-y+1/2,z'
'-x+1/2,y+1/2,z'
'x+1/2,-y+1/2,z'
loop_
_atom_site_label
_atom_site_fract_x
_atom_site_fract_y
_atom_site_fract_z
Ta1 0.000 0.000 0.000
Ta2 0.000 0.500 0.285
Cr1 0.000 0.000 0.530
Cu1 0.000 0.500 0.749
```

The following is a PBEsol calculation of a relaxed TlCo2Si crystal, from the Alexandria database.

Properties
**Energy above the most stable polymorph in this dataset**: 300 meV/atom
**Formation energy from raw total energies**: 0.243 eV/atom

Cell and atoms, written as CIF:
```
data_TlCo2Si
_cell_length_a 5.956
_cell_length_b 5.956
_cell_length_c 5.956
_cell_angle_alpha 90.00
_cell_angle_beta 90.00
_cell_angle_gamma 90.00
_symmetry_space_group_name_H-M 'F m -3 m'
_symmetry_Int_Tables_number 225
_symmetry_space_group_name_Hall '-F 4 2 3'
loop_
_atom_site_label
_atom_site_fract_x
_atom_site_fract_y
_atom_site_fract_z
Tl1 0.000 0.000 0.000
Co1 0.250 0.250 0.250
Si1 0.000 0.000 0.500
```

The following is a PBEsol calculation of a relaxed RbGaAgAu2 crystal, from the Alexandria database.

Properties
**Total DFT energy (no corrections)**: -2.517 eV/atom

Cell and atoms, written as CIF:
```
data_RbGaAgAu2
_cell_length_a 5.157
_cell_length_b 5.157
_cell_length_c 5.614
_cell_angle_alpha 90.00
_cell_angle_beta 90.00
_cell_angle_gamma 90.00
_symmetry_space_group_name_H-M 'P 4/m m m'
_symmetry_Int_Tables_number 123
_symmetry_space_group_name_Hall '-P 4 2'
loop_
_atom_site_label
_atom_site_fract_x
_atom_site_fract_y
_atom_site_fract_z
Rb1 0.000 0.000 0.000
Ga1 0.500 0.500 0.000
Ag1 0.000 0.000 0.500
Au1 0.000 0.500 0.500
```

The following is a PBEsol calculation of a relaxed MgTc2W crystal, from the Alexandria database.

Properties
**Total DFT energy (no corrections)**: -9.235 eV/atom

Cell and atoms, written as CIF:
```
data_MgTc2W
_cell_length_a 2.8060
_cell_length_b 2.8060
_cell_length_c 27.1494
_cell_angle_alpha 90.00
_cell_angle_beta 90.00
_cell_angle_gamma 120.00
_symmetry_space_group_name_H-M 'R -3 m'
_symmetry_Int_Tables_number 166
_symmetry_space_group_name_Hall '-R 3 2"'
loop_
_atom_site_label
_atom_site_fract_x
_atom_site_fract_y
_atom_site_fract_z
Mg1 0.0000 0.0000 0.0000
Tc1 0.0000 0.0000 0.2458
W1 0.0000 0.0000 0.5000
```